An optimized crystal structure of InNi3N, computed with PBE-GGA.

Cell and atoms, written as POSCAR:
```
InNi3N
1.0
6.215 -1.798 0.000
6.215 1.798 0.000
-2.219 0.000 6.249
In Ni N
2 6 2
direct
0.134 0.134 0.001
0.866 0.866 0.999
0.182 0.182 0.442
0.353 0.353 0.278
0.468 0.468 0.802
0.532 0.532 0.198
0.647 0.647 0.722
0.818 0.818 0.558
0.355 0.355 0.548
0.645 0.645 0.452
```

***

InNi2N (PBE-GGA, relaxed); relative energy among the computed polymorphs = 0.00 eV/f.u.
1.0
-2.320 2.320 5.537
2.320 -2.320 5.537
2.320 2.320 -5.537
In Ni N
2 4 2
direct
0.000 0.000 0.000
0.750 0.250 0.500
0.314 0.625 0.189
0.375 0.564 0.689
0.436 0.125 0.811
0.875 0.686 0.311
0.250 0.750 0.500
0.500 0.500 0.000

***

An optimized crystal structure of InNi3N, computed with PBE-GGA.

Cell and atoms, written as POSCAR:
```
InNi3N
1.0
4.643 0.000 0.000
0.000 4.643 0.000
0.000 0.000 4.643
In Ni N
1 3 1
direct
0.000 0.000 0.000
0.000 0.000 0.500
0.000 0.500 0.000
0.500 0.000 0.000
0.500 0.500 0.500
```

***

no.,M_tot (Bohr magnetons per cell),E_tot (eV/f.u.),uncorrected formation energy (meV per atom)
1,0.00,-27.83,116
2,0.00,-22.07,139
3,0.88,-16.53,2375